{
  "formula": "Nd8Ir2Ru",
  "functional": "PBE",
  "state": "relaxed",
  "n_ef_per_ev_atom": 0.850,
  "rho_g_cm3": 8.425,
  "dft_energy_ev_per_cell": -68.1,
  "ef_ev_per_atom": -0.270,
  "total_magnetization_mub_per_cell": 0.0,
  "vol_a3_per_atom": 29.4,
  "relative_energy_mev_per_atom": 34,
  "lattice": [[4.245, -6.430, 0.000], [4.245, 6.430, 0.000], [-2.203, 0.000, 5.919]],
  "species": ["Nd", "Nd", "Nd", "Nd", "Nd", "Nd", "Nd", "Nd", "Ir", "Ir", "Ru"],
  "fractional_positions": [[0.000, 0.000, 0.000], [0.015, 0.274, 0.571], [0.144, 0.559, 0.190], [0.274, 0.015, 0.571], [0.436, 0.697, 0.787], [0.559, 0.144, 0.190], [0.697, 0.436, 0.787], [0.711, 0.711, 0.378], [0.046, 0.670, 0.686], [0.670, 0.046, 0.686], [0.358, 0.358, 0.336]]
}



{
  "formula": "NdScIrRu",
  "functional": "PBE",
  "state": "relaxed",
  "n_ef_per_ev_atom": 0.718,
  "rho_g_cm3": 10.379,
  "dft_energy_ev_per_cell": -31.2,
  "ef_ev_per_atom": -0.484,
  "total_magnetization_mub_per_cell": 0.0,
  "vol_a3_per_atom": 19.3,
  "lattice": [[0.000, 3.379, 3.379], [3.379, 0.000, 3.379], [3.379, 3.379, 0.000]],
  "species": ["Nd", "Sc", "Ir", "Ru"],
  "fractional_positions": [[0.000, 0.000, 0.000], [0.500, 0.500, 0.500], [0.250, 0.250, 0.250], [0.750, 0.750, 0.750]]
}



{
  "formula": "Nd2Si4Ir3Ru",
  "functional": "PBE",
  "state": "relaxed",
  "e_form_raw_ev_per_atom": -1.00,
  "n_ef_per_ev_atom": 0.488,
  "rho_g_cm3": 10.282,
  "dft_energy_ev_per_cell": -77.0,
  "total_magnetization_mub_per_cell": 0.0,
  "vol_a3_per_atom": 17.4,
  "lattice": [[4.229, 0.000, 0.000], [0.000, 4.229, 0.000], [0.000, 0.000, 9.737]],
  "species": ["Nd", "Nd", "Si", "Si", "Si", "Si", "Ir", "Ir", "Ir", "Ru"],
  "fractional_positions": [[0.000, 0.500, 0.247], [0.500, 0.000, 0.753], [0.000, 0.000, 0.000], [0.000, 0.500, 0.624], [0.500, 0.000, 0.376], [0.500, 0.500, 0.000], [0.000, 0.500, 0.874], [0.500, 0.000, 0.126], [0.500, 0.500, 0.500], [0.000, 0.000, 0.500]]
}



{
  "formula": "TbNdIrRu",
  "functional": "PBE",
  "state": "relaxed",
  "n_ef_per_ev_atom": 0.732,
  "rho_g_cm3": 11.743,
  "dft_energy_ev_per_cell": -29.2,
  "ef_ev_per_atom": -0.427,
  "total_magnetization_mub_per_cell": 0.0,
  "vol_a3_per_atom": 21.1,
  "lattice": [[0.000, 3.481, 3.481], [3.481, 0.000, 3.481], [3.481, 3.481, 0.000]],
  "species": ["Tb", "Nd", "Ir", "Ru"],
  "fractional_positions": [[0.000, 0.000, 0.000], [0.500, 0.500, 0.500], [0.750, 0.750, 0.750], [0.250, 0.250, 0.250]]
}